Below is a relaxed structure of Ga2Sn2Se, with properties calculated at the PBE-GGA level.

Cell: 6.5904 6.5904 6.5904 Å, 138.23 138.23 60.55°
Closest atoms and distances in Å follow each position.
Fractional positions:
Ga (0.1049, 0.1049, 0.0000)  1 Ga 2.39
Ga (0.8951, 0.8951, 0.0000)  1 Ga 2.39
Sn (0.2500, 0.7500, 0.5000)  4 Ga 2.87
Sn (0.7500, 0.2500, 0.5000)  4 Ga 2.87
Se (0.5000, 0.5000, 0.0000)  8 Ga 3.53, 8 Sn 3.69

Results
Formation energy without anion corrections = 137.9 meV per atom
VASP energy = -16.9 eV/cell
SG = I4/mmm (139)
Size of the total moment = 0.00 μB/cell



Below is a relaxed structure of Nd4BiSbC, with properties calculated at the PBE-GGA level.

Cell: 8.9530 8.9530 7.1149 Å, 90.00 90.00 133.22°
Closest atoms and distances in Å follow each position.
Fractional positions:
Nd (0.0000, 0.5000, 0.0000)  2 C 2.51
Nd (0.0000, 0.5000, 0.5000)  2 C 2.51
Nd (0.0909, 0.9091, 0.7500)  1 C 2.59
Nd (0.4060, 0.5940, 0.7500)  1 C 2.59
Nd (0.5000, 0.0000, 0.0000)  2 C 2.51
Nd (0.5000, 0.0000, 0.5000)  2 C 2.51
Nd (0.5940, 0.4060, 0.2500)  1 C 2.59
Nd (0.9091, 0.0909, 0.2500)  1 C 2.59
Bi (0.3933, 0.6067, 0.2500)  9 Nd 3.30-3.56
Bi (0.6067, 0.3933, 0.7500)  9 Nd 3.30-3.56
Sb (0.1102, 0.8898, 0.2500)  9 Nd 3.31-3.57
Sb (0.8898, 0.1102, 0.7500)  9 Nd 3.31-3.57
C (0.2485, 0.7515, 0.7500)  6 Nd 2.51-2.59
C (0.7515, 0.2485, 0.2500)  6 Nd 2.51-2.59

Results
Formation energy without anion corrections = -640.6 meV per atom
VASP energy = -81.6 eV/cell
SG = Cmcm (63)
Size of the total moment = 0.00 μB/cell



Below is a relaxed structure of BaAg2PdPb, with properties calculated at the PBE-GGA level.

Cell: 5.3276 5.3276 5.1585 Å, 90.00 90.00 90.00°
Closest atoms and distances in Å follow each position.
Fractional positions:
Ba (0.0000, 0.0000, 0.0000)  8 Ag 3.71, 4 Pb 3.77
Ag (0.0000, 0.5000, 0.5000)  2 Pd 2.66
Ag (0.5000, 0.0000, 0.5000)  2 Pd 2.66
Pd (0.5000, 0.5000, 0.5000)  2 Pb 2.58, 4 Ag 2.66
Pb (0.5000, 0.5000, 0.0000)  2 Pd 2.58

Results
ΔH_f (0 K) = -0.133 eV per atom
VASP energy = -17.2 eV/cell
SG = P4/mmm (123)
Size of the total moment = 0.00 μB/cell